No. 1
HoPbAuS3: relaxed, PBE.

Computed properties:
Energy above the lowest structure with this stoichiometry   0.000 eV per atom
Mass density   7.365 Mg/m³

Unit cell a=11.5860 b=4.0974 c=12.6381 alpha=90.00 beta=90.00 gamma=90.00
Closest atoms and distances in Å follow each position.
Space group Pnma (No. 62)
Symmetry-distinct sites (fractional):
Ho: 0.0244 0.2500 0.1570  6 S 2.69-2.83
Pb: 0.1642 0.2500 0.5601  3 S 2.76-2.82
Au: 0.2160 0.7500 0.3740  2 S 2.34-2.35
S: 0.0285 0.7500 0.3041  1 Au 2.34
S: 0.0960 0.2500 0.9429  1 Au 2.35
S: 0.2454 0.7500 0.6864  1 Ho 2.69, 2 Pb 2.76

---

No. 2
Pr2Ho2C3: relaxed, PBE.

Computed properties:
Total energy   -6.67 eV/atom
Mass density   7.300 Mg/m³

Unit cell a=12.6464 b=3.7823 c=6.3773 alpha=90.00 beta=105.00 gamma=90.00
Closest atoms and distances in Å follow each position.
Space group C2/m (No. 12)
Symmetry-distinct sites (fractional):
Pr: 0.1210 0.0000 0.3726  5 C 2.58-2.78
Ho: 0.1474 0.5000 0.8478  4 C 2.43-2.51
C: 0.0000 0.5000 0.5000  2 Ho 2.50, 4 Pr 2.69
C: 0.2485 0.0000 0.7604  3 Ho 2.43-2.51, 1 Pr 2.58

---

No. 3
Mg2SbPd3: relaxed, PBE.

Computed properties:
Total energy   -4.46 eV/atom
Mass density   8.020 Mg/m³

Unit cell a=4.5841 b=4.5841 c=5.5703 alpha=90.00 beta=90.00 gamma=120.00
Closest atoms and distances in Å follow each position.
Space group P-3m1 (No. 164)
Symmetry-distinct sites (fractional):
Mg: 0.3333 0.6667 0.1580  8 Pd 2.75-2.83
Sb: 0.0000 0.0000 0.5000  8 Pd 2.79-2.80
Pd: 0.0000 0.0000 0.0000  2 Sb 2.79, 6 Mg 2.79
Pd: 0.3333 0.6667 0.6645  5 Mg 2.75-2.83, 3 Sb 2.80

---

No. 4
Na4Sn2IrPd: relaxed, PBE.

Computed properties:
Total energy   -3.51 eV/atom
Mass density   6.701 Mg/m³

Unit cell a=4.8022 b=4.8022 c=6.7483 alpha=90.00 beta=90.00 gamma=90.00
Closest atoms and distances in Å follow each position.
Space group P-4m2 (No. 115)
Symmetry-distinct sites (fractional):
Na: 0.0000 0.0000 0.0000  4 Na 2.91, 4 Sn 2.99
Na: 0.0000 0.5000 0.2447  2 Pd 2.91, 4 Na 2.91-2.96, 2 Ir 2.96
Na: 0.5000 0.5000 0.5000  4 Sn 2.88, 4 Na 2.96
Sn: 0.0000 0.5000 0.7368  4 Na 2.88-2.99, 2 Ir 2.88, 2 Pd 2.99
Ir: 0.0000 0.0000 0.5000  4 Sn 2.88, 4 Na 2.96
Pd: 0.5000 0.5000 0.0000  4 Na 2.91, 4 Sn 2.99

---

No. 5
LiHfIr2: relaxed, PBE.

Computed properties:
Energy above the lowest structure with this stoichiometry   0.014 eV per atom
Mass density   15.730 Mg/m³

Unit cell a=3.1809 b=3.1809 c=5.9456 alpha=90.00 beta=90.00 gamma=90.00
Closest atoms and distances in Å follow each position.
Space group P4/mmm (No. 123)
Symmetry-distinct sites (fractional):
Li: 0.0000 0.0000 0.0000  8 Ir 2.64
Hf: 0.0000 0.0000 0.5000  8 Ir 2.76, 2 Li 2.97
Ir: 0.5000 0.5000 0.2322  4 Li 2.64, 4 Hf 2.76, 1 Ir 2.76

---

No. 6
ScBeTcW: relaxed, PBE.

Computed properties:
Energy above the lowest structure with this stoichiometry   0.015 eV per atom
Mass density   9.366 Mg/m³

Unit cell a=6.1984 b=6.1984 c=6.1984 alpha=90.00 beta=90.00 gamma=90.00
Closest atoms and distances in Å follow each position.
Space group F-43m (No. 216)
Symmetry-distinct sites (fractional):
Sc: 0.0000 0.0000 0.0000  4 W 2.68, 4 Be 2.68
Be: 0.2500 0.2500 0.2500  4 Tc 2.68, 4 Sc 2.68
Tc: 0.0000 0.0000 0.5000  4 W 2.68, 4 Be 2.68
W: 0.2500 0.2500 0.7500  4 Tc 2.68, 4 Sc 2.68

---

No. 7
ZrScTeC: relaxed, PBE.

Computed properties:
Energy above the lowest structure with this stoichiometry   0.000 eV per atom
Mass density   6.251 Mg/m³

Unit cell a=3.5651 b=3.5651 c=13.3121 alpha=90.00 beta=90.00 gamma=120.00
Closest atoms and distances in Å follow each position.
Space group P-3m1 (No. 164)
Symmetry-distinct sites (fractional):
Zr: 0.3333 0.6667 0.4105  3 C 2.38
Sc: 0.3333 0.6667 0.0881  3 C 2.37
Te: 0.3333 0.6667 0.7493  3 Zr 2.96, 3 Sc 2.99
C: 0.0000 0.0000 0.0000  6 Sc 2.37
C: 0.0000 0.0000 0.5000  6 Zr 2.38

---

No. 8
DyCo4Sn2Ge4: relaxed, PBE.

Computed properties:
Total energy   -5.75 eV/atom
Mass density   8.408 Mg/m³

Unit cell a=6.5944 b=6.5944 c=8.4127 alpha=90.00 beta=90.00 gamma=90.00
Closest atoms and distances in Å follow each position.
Space group I-42m (No. 121)
Symmetry-distinct sites (fractional):
Dy: 0.0000 0.0000 0.0000  4 Ge 3.02, 4 Co 3.20, 4 Sn 3.30
Co: 0.1667 0.1667 0.4083  4 Ge 2.30-2.44
Sn: 0.0000 0.5000 0.0000  4 Co 2.58
Ge: 0.1758 0.1758 0.6981  4 Co 2.30-2.44

---

No. 9
AgB2: relaxed, PBE.

Computed properties:
Energy above the lowest structure with this stoichiometry   1.914 eV per atom
Mass density   2.049 Mg/m³

Unit cell a=9.4342 b=9.4342 c=9.4342 alpha=90.00 beta=90.00 gamma=90.00
Closest atoms and distances in Å follow each position.
Space group Fd-3m (No. 227, origin choice 2)
Symmetry-distinct sites (fractional):
Ag: 0.1250 0.1250 0.1250  4 B 2.04
B: 0.0000 0.0000 0.0000  2 Ag 2.04

---

No. 10
Ta2Br: relaxed, PBE.

Computed properties:
Energy above the lowest structure with this stoichiometry   2.545 eV per atom
Mass density   4.246 Mg/m³

Unit cell a=11.1395 b=11.1395 c=11.1395 alpha=90.00 beta=90.00 gamma=90.00
Closest atoms and distances in Å follow each position.
Space group Fd-3m (No. 227, origin choice 2)
Symmetry-distinct sites (fractional):
Ta: 0.0000 0.0000 0.0000  2 Br 2.41
Br: 0.1250 0.1250 0.1250  4 Ta 2.41

---

No. 11
LuAgTe3Au: relaxed, PBE.

Computed properties:
Total energy   -3.88 eV/atom
Mass density   8.441 Mg/m³

Unit cell a=4.1517 b=15.2426 c=10.7262 alpha=90.00 beta=90.00 gamma=90.00
Closest atoms and distances in Å follow each position.
Space group Cmcm (No. 63)
Symmetry-distinct sites (fractional):
Lu: 0.0000 0.0000 0.0000  6 Te 3.08-3.11, 4 Au 3.40
Ag: 0.0000 0.1519 0.2500  4 Te 2.94, 2 Au 2.95
Te: 0.0000 0.1037 0.7500  2 Au 2.75
Te: 0.0000 0.3560 0.5567  1 Au 2.86, 2 Ag 2.94, 2 Lu 3.08
Au: 0.0000 0.4855 0.7500  4 Te 2.75-2.86, 2 Ag 2.95

---

No. 12
KHoGa: relaxed, PBE.

Computed properties:
Energy above the lowest structure with this stoichiometry   0.000 eV per atom
Mass density   5.142 Mg/m³

Unit cell a=4.3530 b=4.3530 c=9.3303 alpha=90.00 beta=90.00 gamma=90.00
Closest atoms and distances in Å follow each position.
Space group P4/nmm (No. 129, origin choice 2)
Symmetry-distinct sites (fractional):
K: 0.2500 0.7500 0.0000  4 K 3.08
Ho: 0.2500 0.2500 0.3814  5 Ga 2.98-3.17
Ga: 0.2500 0.2500 0.7009  5 Ho 2.98-3.17